(1)
A geometry-optimized NaNb2Pd9 structure. Source: Alexandria, functional PBE.

Summary:
ΔE_f: -4.03 eV per formula unit
SG: P4/mmm, No. 123
Mass density: 10.146 g/cm³
Final energy: -72.22 eV/f.u.
Total magnetic moment: 0.00 μB/atom
Density of states at the Fermi level: 0.245 states/eV per atom

Lattice parameters (Å, degrees): 3.9913 3.9913 11.9854 90.00 90.00 90.00
Closest atoms and distances in Å follow each position.
Positions (direct):
Na (0.0000, 0.0000, 0.0000)  12 Pd 2.82-2.91
Nb (0.0000, 0.0000, 0.3262)  12 Pd 2.69-2.88
Nb (0.0000, 0.0000, 0.6738)  12 Pd 2.69-2.88
Pd (0.0000, 0.5000, 0.1764)  2 Nb 2.69, 8 Pd 2.79-2.91, 2 Na 2.91
Pd (0.0000, 0.5000, 0.5000)  8 Pd 2.78-2.82, 4 Nb 2.88
Pd (0.0000, 0.5000, 0.8236)  2 Nb 2.69, 8 Pd 2.79-2.91, 2 Na 2.91
Pd (0.5000, 0.0000, 0.1764)  2 Nb 2.69, 8 Pd 2.79-2.91, 2 Na 2.91
Pd (0.5000, 0.0000, 0.5000)  8 Pd 2.78-2.82, 4 Nb 2.88
Pd (0.5000, 0.0000, 0.8236)  2 Nb 2.69, 8 Pd 2.79-2.91, 2 Na 2.91
Pd (0.5000, 0.5000, 0.0000)  4 Na 2.82, 8 Pd 2.91
Pd (0.5000, 0.5000, 0.3391)  8 Pd 2.78-2.79, 4 Nb 2.83
Pd (0.5000, 0.5000, 0.6609)  8 Pd 2.78-2.79, 4 Nb 2.83


(2)
A geometry-optimized MgScBi3 structure. Source: Alexandria, functional PBE.

Summary:
ΔE_f: 0.89 eV per formula unit
SG: Pm-3m, No. 221
ΔE to the lowest computed polymorph: 0 meV per atom
Mass density: 6.589 g/cm³
Final energy: -18.68 eV/f.u.
Total magnetic moment: 0.00 μB/atom
Density of states at the Fermi level: 0.554 states/eV per atom

Lattice parameters (Å, degrees): 5.5983 5.5983 5.5983 90.00 90.00 90.00
Closest atoms and distances in Å follow each position.
Positions (direct):
Mg (0.0000, 0.0000, 0.0000)  12 Bi 3.96
Sc (0.5000, 0.5000, 0.5000)  6 Bi 2.80
Bi (0.0000, 0.5000, 0.5000)  2 Sc 2.80
Bi (0.5000, 0.0000, 0.5000)  2 Sc 2.80
Bi (0.5000, 0.5000, 0.0000)  2 Sc 2.80


(3)
A geometry-optimized CeCo2P2 structure. Source: Alexandria, functional PBE.

Summary:
ΔE_f: -5.05 eV per formula unit
SG: I4/mmm, No. 139
Mass density: 7.400 g/cm³
Final energy: -36.02 eV/f.u.
Total magnetic moment: 0.26 μB/atom
Density of states at the Fermi level: 0.700 states/eV per atom

Lattice parameters (Å, degrees): 5.4947 5.4947 5.4947 138.61 138.61 59.97
Closest atoms and distances in Å follow each position.
Positions (direct):
Ce (0.0000, 0.0000, 0.0000)  8 P 3.01, 8 Co 3.07
Co (0.2500, 0.7500, 0.5000)  4 P 2.26
Co (0.7500, 0.2500, 0.5000)  4 P 2.26
P (0.3717, 0.3717, 0.0000)  4 Co 2.26, 1 P 2.44
P (0.6283, 0.6283, 0.0000)  4 Co 2.26, 1 P 2.44


(4)
A geometry-optimized RbGeC2 structure. Source: Alexandria, functional PBE.

Summary:
ΔE_f: 6.02 eV per formula unit
SG: I4_1/amd, No. 141
Mass density: 4.001 g/cm³
Final energy: -18.01 eV/f.u.
Total magnetic moment: 0.22 μB/atom
Density of states at the Fermi level: 0.385 states/eV per atom

Lattice parameters (Å, degrees): 6.8062 6.8062 6.8062 135.79 135.79 64.30
Closest atoms and distances in Å follow each position.
Positions (direct):
Rb (0.3750, 0.6250, 0.7500)  8 C 3.21
Rb (0.6250, 0.3750, 0.2500)  8 C 3.21
Ge (0.1250, 0.8750, 0.2500)  4 C 1.93
Ge (0.8750, 0.1250, 0.7500)  4 C 1.93
C (0.0000, 0.0000, 0.0000)  2 Ge 1.93
C (0.0000, 0.0000, 0.5000)  2 Ge 1.93
C (0.0000, 0.5000, 0.0000)  2 Ge 1.93
C (0.5000, 0.0000, 0.5000)  2 Ge 1.93